## w
Material: BeAs2F
Method: DFT, PBE-GGA
State: relaxed

Summary:
Symmetry   Fm-3m

Cell: 4.249 4.249 4.249 Å, 60.00 60.00 60.00°
Fractional coordinates of all 4 atoms:
As1 0.250 0.250 0.250
As2 0.750 0.750 0.750
F1 0.500 0.500 0.500
Be1 0.000 0.000 0.000

## x
Material: BeAs2F
Method: DFT, PBE-GGA
State: relaxed

Summary:
Symmetry   I-42d

Cell: 3.875 3.875 8.950 Å, 77.50 77.50 90.00°
Fractional coordinates of all 8 atoms:
F1 0.000 0.000 0.000
F2 0.750 0.250 0.500
Be1 0.500 0.500 0.000
As1 0.875 0.836 0.750
Be2 0.250 0.750 0.500
As2 0.164 0.625 0.250
As3 0.586 0.125 0.250
As4 0.375 0.414 0.750

Best to worst by energy: w, x.

## w
Material: BeAsNF2
Method: DFT, PBE-GGA
State: relaxed

Summary:
Symmetry   P4/mmm

Cell: 4.049 4.049 4.107 Å, 90.00 90.00 90.00°
Fractional coordinates of all 5 atoms:
Be1 0.500 0.500 0.500
F1 0.500 0.000 0.000
F2 0.000 0.500 0.000
N1 0.000 0.000 0.500
As1 0.000 0.000 0.000

## x
Material: BeAsNF2
Method: DFT, PBE-GGA
State: relaxed

Summary:
Symmetry   P4/mmm

Cell: 3.148 3.148 6.249 Å, 90.00 90.00 90.00°
Fractional coordinates of all 5 atoms:
As1 0.500 0.500 0.500
F1 0.000 0.500 0.000
N1 0.000 0.000 0.500
Be1 0.000 0.000 0.000
F2 0.500 0.000 0.000

Best to worst by energy: x, w.

## w
Material: BeGa3As4
Method: DFT, PBE-GGA
State: relaxed

Summary:
Symmetry   Pmn2_1

Cell: 6.557 6.791 7.850 Å, 90.00 90.00 90.00°
Fractional coordinates of all 16 atoms:
As1 0.655 0.170 0.000
Ga1 0.500 0.837 0.000
As2 0.621 0.677 0.266
As3 0.121 0.323 0.766
Be1 0.999 0.168 0.000
As4 0.155 0.830 0.500
Ga2 0.998 0.668 0.750
Be2 0.499 0.832 0.500
Ga3 0.000 0.163 0.500
Ga4 0.998 0.668 0.250
As5 0.621 0.677 0.734
As6 0.622 0.143 0.500
As7 0.122 0.857 0.000
Ga5 0.498 0.332 0.250
Ga6 0.498 0.332 0.750
As8 0.121 0.323 0.234

## x
Material: BeGa3As4
Method: DFT, PBE-GGA
State: relaxed

Summary:
Symmetry   I-42m

Cell: 5.591 5.591 6.858 Å, 114.06 114.06 90.00°
Fractional coordinates of all 8 atoms:
Be1 0.000 0.000 0.000
Ga1 0.750 0.250 0.500
As1 0.351 0.351 0.235
Ga2 0.500 0.500 0.000
Ga3 0.250 0.750 0.500
As2 0.649 0.116 0.765
As3 0.116 0.649 0.765
As4 0.884 0.884 0.235

Best to worst by energy: x, w.

## w
Material: BeGaAs2
Method: DFT, PBE-GGA
State: relaxed

Summary:
Symmetry   R-3m

Cell: 3.392 3.392 7.843 Å, 77.51 77.51 60.00°
Fractional coordinates of all 4 atoms:
Be1 0.500 0.500 0.500
Ga1 0.000 0.000 0.000
As1 0.888 0.888 0.335
As2 0.112 0.112 0.665

## x
Material: BeGaAs2
Method: DFT, PBE-GGA
State: relaxed

Summary:
Symmetry   Fm-3m

Cell: 4.556 4.556 4.556 Å, 60.00 60.00 60.00°
Fractional coordinates of all 4 atoms:
Be1 0.000 0.000 0.000
As1 0.250 0.250 0.250
Ga1 0.500 0.500 0.500
As2 0.750 0.750 0.750

Best to worst by energy: w, x.

## w
Material: BeGa2As
Method: DFT, PBE-GGA
State: relaxed

Summary:
Symmetry   Fm-3m

Cell: 4.576 4.576 4.576 Å, 60.00 60.00 60.00°
Fractional coordinates of all 4 atoms:
Be1 0.000 0.000 0.000
Ga1 0.250 0.250 0.250
As1 0.500 0.500 0.500
Ga2 0.750 0.750 0.750

## x
Material: BeGa2As
Method: DFT, PBE-GGA
State: relaxed

Summary:
Symmetry   I-42d

Cell: 5.874 5.874 6.461 Å, 62.96 62.96 90.00°
Fractional coordinates of all 8 atoms:
Be1 0.500 0.500 0.000
As1 0.750 0.250 0.500
Ga1 0.875 0.855 0.750
As2 0.000 0.000 0.000
Ga2 0.145 0.625 0.250
Ga3 0.375 0.395 0.750
Ga4 0.605 0.125 0.250
Be2 0.250 0.750 0.500

Best to worst by energy: x, w.

## w
Material: BeGeAs3
Method: DFT, PBE-GGA
State: relaxed

Summary:
Symmetry   Pm-3m

Cell: 4.542 4.542 4.542 Å, 90.00 90.00 90.00°
Fractional coordinates of all 5 atoms:
Ge1 0.500 0.500 0.500
As1 0.000 0.500 0.000
Be1 0.000 0.000 0.000
As2 0.000 0.000 0.500
As3 0.500 0.000 0.000

## x
Material: BeGeAs3
Method: DFT, PBE-GGA
State: relaxed

Summary:
Symmetry   Pm-3m

Cell: 4.914 4.914 4.914 Å, 90.00 90.00 90.00°
Fractional coordinates of all 5 atoms:
As1 0.000 0.500 0.000
Ge1 0.000 0.000 0.000
As2 0.000 0.000 0.500
As3 0.500 0.000 0.000
Be1 0.500 0.500 0.500

Best to worst by energy: w, x.

## w
Material: BeGe2As
Method: DFT, PBE-GGA
State: relaxed

Summary:
Symmetry   Fm-3m

Cell: 4.591 4.591 4.591 Å, 60.00 60.00 60.00°
Fractional coordinates of all 4 atoms:
Ge1 0.250 0.250 0.250
As1 0.500 0.500 0.500
Ge2 0.750 0.750 0.750
Be1 0.000 0.000 0.000

## x
Material: BeGe2As
Method: DFT, PBE-GGA
State: relaxed

Summary:
Symmetry   I-42d

Cell: 5.524 5.524 6.694 Å, 65.63 65.63 90.00°
Fractional coordinates of all 8 atoms:
Ge1 0.875 0.837 0.750
As1 0.000 0.000 0.000
Ge2 0.375 0.413 0.750
Be1 0.250 0.750 0.500
Ge3 0.587 0.125 0.250
Ge4 0.163 0.625 0.250
Be2 0.500 0.500 0.000
As2 0.750 0.250 0.500

Best to worst by energy: x, w.

## w
Material: BeAsH
Method: DFT, PBE-GGA
State: relaxed

Summary:
Symmetry   Pmc2_1

Cell: 5.261 3.944 3.786 Å, 90.00 90.00 90.00°
Fractional coordinates of all 6 atoms:
Be1 0.430 0.207 0.199
As1 0.923 0.707 0.635
As2 0.227 0.707 0.135
H1 0.460 0.207 0.579
H2 0.690 0.207 0.079
Be2 0.719 0.207 0.699

## x
Material: BeAsH
Method: DFT, PBE-GGA
State: relaxed

Summary:
Symmetry   Pnma

Cell: 5.868 5.794 4.751 Å, 90.00 90.00 90.00°
Fractional coordinates of all 12 atoms:
As1 0.772 0.750 0.603
As2 0.272 0.750 0.897
As3 0.228 0.250 0.397
H1 0.934 0.750 0.336
Be1 0.500 0.500 0.500
Be2 0.000 0.500 0.000
As4 0.728 0.250 0.103
H2 0.434 0.750 0.164
Be3 0.000 0.000 0.000
Be4 0.500 0.000 0.500
H3 0.066 0.250 0.664
H4 0.566 0.250 0.836

Best to worst by energy: w, x.

## w
Material: BeAsH
Method: DFT, PBE-GGA
State: relaxed

Summary:
Symmetry   Pnma

Cell: 6.154 3.397 6.787 Å, 90.00 90.00 90.00°
Fractional coordinates of all 12 atoms:
H1 0.141 0.750 0.417
Be1 0.883 0.250 0.801
H2 0.641 0.750 0.083
H3 0.359 0.250 0.917
As1 0.189 0.750 0.874
As2 0.689 0.750 0.626
Be2 0.117 0.750 0.199
As3 0.811 0.250 0.126
Be3 0.617 0.750 0.301
H4 0.859 0.250 0.583
Be4 0.383 0.250 0.699
As4 0.311 0.250 0.374

## x
Material: BeAsH
Method: DFT, PBE-GGA
State: relaxed

Summary:
Symmetry   Pnma

Cell: 6.300 3.913 6.272 Å, 90.00 90.00 90.00°
Fractional coordinates of all 12 atoms:
Be1 0.384 0.250 0.027
H1 0.407 0.250 0.533
As1 0.735 0.250 0.138
Be2 0.116 0.750 0.527
H2 0.593 0.750 0.467
Be3 0.616 0.750 0.973
Be4 0.884 0.250 0.473
H3 0.093 0.750 0.033
H4 0.907 0.250 0.967
As2 0.765 0.750 0.638
As3 0.265 0.750 0.862
As4 0.235 0.250 0.362

Best to worst by energy: x, w.

## w
Material: BeAsH
Method: DFT, PBE-GGA
State: relaxed

Summary:
Symmetry   Cmce

Cell: 3.855 6.554 6.554 Å, 80.72 90.00 90.00°
Fractional coordinates of all 12 atoms:
H1 0.750 0.839 0.661
As1 0.164 0.156 0.844
As2 0.336 0.656 0.344
Be1 0.500 0.677 0.677
Be2 0.500 0.323 0.323
As3 0.836 0.844 0.156
H2 0.750 0.339 0.161
H3 0.250 0.661 0.839
Be3 0.000 0.823 0.823
As4 0.664 0.344 0.656
Be4 0.000 0.177 0.177
H4 0.250 0.161 0.339

## x
Material: BeAsH
Method: DFT, PBE-GGA
State: relaxed

Summary:
Symmetry   P1

Cell: 2.456 3.525 4.978 Å, 89.87 87.30 89.99°
Fractional coordinates of all 3 atoms:
As1 0.868 0.325 0.781
H1 0.330 0.824 0.246
Be1 0.847 0.823 0.079

Best to worst by energy: w, x.

## w
Material: BeAs2H
Method: DFT, PBE-GGA
State: relaxed

Summary:
Symmetry   I-42d

Cell: 5.180 5.180 5.677 Å, 62.86 62.86 90.00°
Fractional coordinates of all 8 atoms:
H1 0.250 0.750 0.500
H2 0.500 0.500 0.000
As1 0.375 0.412 0.750
As2 0.875 0.838 0.750
As3 0.162 0.625 0.250
As4 0.588 0.125 0.250
Be1 0.750 0.250 0.500
Be2 0.000 0.000 0.000

## x
Material: BeAs2H
Method: DFT, PBE-GGA
State: relaxed

Summary:
Symmetry   Fm-3m

Cell: 4.136 4.136 4.136 Å, 60.00 60.00 60.00°
Fractional coordinates of all 4 atoms:
As1 0.750 0.750 0.750
Be1 0.500 0.500 0.500
H1 0.000 0.000 0.000
As2 0.250 0.250 0.250

Best to worst by energy: w, x.